Record 1
This record from the Alexandria database describes an optimized crystal structure of Cu2MoSe. The functional is PBE.

```
data_Cu2MoSe
_space_group_name_H-M_alt 'P 1'
_space_group_IT_number 1
_cell_length_a 4.817
_cell_length_b 4.817
_cell_length_c 4.817
_cell_angle_alpha 133.95
_cell_angle_beta 133.96
_cell_angle_gamma 67.15
loop_
_space_group_symop_operation_xyz
'x,y,z'
loop_
_atom_site_label
_atom_site_fract_x
_atom_site_fract_y
_atom_site_fract_z
Cu1 0.000 0.000 0.000
Cu2 0.750 0.250 0.500
Mo1 0.500 0.500 0.000
Se1 0.250 0.750 0.500
```

Output
- VASP energy (eV per cell) = -21.33
- raw formation energy (eV/atom) = 0.295
- total magnetization (μB/cell) = 0.0
- DOS at the Fermi energy (states/eV/cell) = 1.12


Record 2
This record from the Alexandria database describes an optimized crystal structure of Ca2AcPbS4. The functional is PBE.

```
data_Ca2AcPbS4
_space_group_name_H-M_alt 'P 1'
_space_group_IT_number 1
_cell_length_a 4.142
_cell_length_b 7.185
_cell_length_c 7.329
_cell_angle_alpha 109.09
_cell_angle_beta 90.00
_cell_angle_gamma 90.00
loop_
_space_group_symop_operation_xyz
'x,y,z'
loop_
_atom_site_label
_atom_site_fract_x
_atom_site_fract_y
_atom_site_fract_z
Ca1 0.500 0.000 0.500
Ca2 0.000 0.500 0.500
Ac1 0.500 0.500 0.000
Pb1 0.000 0.000 0.000
S1 0.500 0.258 0.268
S2 0.500 0.742 0.732
S3 0.000 0.243 0.730
S4 0.000 0.757 0.270
```

Output
- VASP energy (eV per cell) = -41.52
- raw formation energy (eV/atom) = -1.649
- total magnetization (μB/cell) = 0.0
- DOS at the Fermi energy (states/eV/cell) = 3.30


Record 3
This record from the Alexandria database describes an optimized crystal structure of Zn2TcAs. The functional is PBE.

```
data_Zn2TcAs
_space_group_name_H-M_alt 'P 1'
_space_group_IT_number 1
_cell_length_a 3.478
_cell_length_b 3.479
_cell_length_c 5.013
_cell_angle_alpha 90.00
_cell_angle_beta 90.00
_cell_angle_gamma 90.00
loop_
_space_group_symop_operation_xyz
'x,y,z'
loop_
_atom_site_label
_atom_site_fract_x
_atom_site_fract_y
_atom_site_fract_z
As1 0.500 0.500 0.250
Tc1 0.500 0.500 0.750
Zn1 0.000 0.000 0.993
Zn2 0.000 0.000 0.507
```

Output
- VASP energy (eV per cell) = -17.20
- total magnetization (μB/cell) = 0.0
- DOS at the Fermi energy (states/eV/cell) = 2.00
- ΔH_f (0 K) (meV/atom) = 91


Copy entry 3 word for word.
This record from the Alexandria database describes an optimized crystal structure of Zn2TcAs. The functional is PBE.

```
data_Zn2TcAs
_space_group_name_H-M_alt 'P 1'
_space_group_IT_number 1
_cell_length_a 3.478
_cell_length_b 3.479
_cell_length_c 5.013
_cell_angle_alpha 90.00
_cell_angle_beta 90.00
_cell_angle_gamma 90.00
loop_
_space_group_symop_operation_xyz
'x,y,z'
loop_
_atom_site_label
_atom_site_fract_x
_atom_site_fract_y
_atom_site_fract_z
As1 0.500 0.500 0.250
Tc1 0.500 0.500 0.750
Zn1 0.000 0.000 0.993
Zn2 0.000 0.000 0.507
```

Output
- VASP energy (eV per cell) = -17.20
- total magnetization (μB/cell) = 0.0
- DOS at the Fermi energy (states/eV/cell) = 2.00
- ΔH_f (0 K) (meV/atom) = 91